# PBE-GGA ReMoRu2, optimized geometry
# - E above lowest polymorph: 1366 meV/atom
# - E_form: 1.388 eV/atom
# - N(E_F): 22.4 states/eV/cell
data_ReMoRu2
_chemical_formula_sum 'Re4 Mo4 Ru8'
_cell_length_a 5.600
_cell_length_b 5.600
_cell_length_c 11.093
_cell_angle_alpha 90.00
_cell_angle_beta 90.00
_cell_angle_gamma 90.00
_space_group_name_H-M_alt 'I -4 2 d'
_space_group_IT_number 122
_space_group_name_Hall 'I -4 2bw'
loop_
_atom_site_label
_atom_site_type_symbol
_atom_site_fract_x
_atom_site_fract_y
_atom_site_fract_z
Re1 Re 0.000 0.000 0.000
Mo1 Mo 0.000 0.000 0.500
Ru1 Ru 0.246 0.250 0.125